Record 1
Crystalline Li2Ce4Sb3O2 at its relaxed geometry, computed with GGA-PBE.

Cell and atoms, written as extended XYZ:
```
11
Lattice="4.808 0.000 0.000 0.000 4.808 0.000 -2.404 -2.404 11.954" Properties=species:S:1:pos:R:3 pbc="T T T"
Li 0.000 0.000 7.258
Li 2.404 2.404 4.697
Ce 0.000 2.404 9.720
Ce 2.404 0.000 9.720
Ce 0.000 2.404 2.235
Ce 2.404 0.000 2.235
Sb 0.000 0.000 0.000
Sb 0.000 0.000 4.370
Sb 2.404 2.404 7.584
O 0.000 0.000 9.463
O 2.404 2.404 2.492
```

Values from the calculation:
- symmetry = No. 139
- formation energy without anion corrections (meV per atom) = -1439.1


Record 2
Crystalline CeNp2Se4 at its relaxed geometry, computed with GGA-PBE.

Cell and atoms, written as extended XYZ:
```
14
Lattice="-2.838 -0.717 2.856 -2.375 -2.864 -6.008 6.209 -11.849 3.194" Properties=species:S:1:pos:R:3 pbc="T T T"
Ce 2.345 -10.003 2.747
Ce -1.350 -5.427 -2.704
Np 1.688 -6.021 0.165
Np 1.609 -13.803 1.061
Np -0.614 -1.628 -1.019
Np -0.693 -9.409 -0.123
Se -2.710 -3.593 -0.667
Se -1.156 -6.559 0.132
Se 3.705 -11.838 0.709
Se 2.151 -8.872 -0.090
Se -0.257 -12.214 -0.395
Se 1.253 -3.217 0.437
Se -1.419 -0.359 1.428
Se 1.685 -6.283 3.025
```

Values from the calculation:
- relative energy among the computed polymorphs (meV per atom) = 50
- symmetry = No. 63
- formation energy without anion corrections (meV per atom) = -1352.7


Record 3
Crystalline Re3AsOs at its relaxed geometry, computed with GGA-PBE.

Cell and atoms, written as extended XYZ:
```
5
Lattice="4.456 0.000 0.000 0.000 4.456 0.000 0.000 0.000 4.456" Properties=species:S:1:pos:R:3 pbc="T T T"
Re 0.000 2.228 0.000
Re 0.000 0.000 2.228
Re 2.228 0.000 0.000
As 0.000 0.000 0.000
Os 2.228 2.228 2.228
```

Values from the calculation:
- symmetry = No. 221
- energy of formation (eV/atom) = 1.96


V, respectively: 25.1; 27.2; 17.7 A^3/atom.